The following is a DFT calculation (GGA-PBE) of a relaxed Th2MnAg crystal.

The structure in extended XYZ format:
```
4
Lattice="-4.5657 2.4874 -0.0375 -4.2138 -2.3299 -1.9620 -3.8272 -1.5432 3.1630" Properties=species:S:1:pos:R:3 pbc="T T T"
Ag -6.3033 -0.6929 0.5817
Mn 0.0000 0.0000 0.0000
Th -3.1517 -0.3464 0.2909
Th -9.4550 -1.0393 0.8726
```

Results
The value obtained for the relative energy among the computed polymorphs is 0.0662 eV per atom. The calculation puts the calculated formation energy at 0.150 eV per atom. As for the total magnetization: 2.36 μB/f.u.

=====

The following is a DFT calculation (GGA-PBE) of a relaxed SrZr3Au crystal.

The structure in extended XYZ format:
```
5
Lattice="5.3297 0.0000 0.0000 0.0000 5.3297 0.0000 0.0000 0.0000 5.3297" Properties=species:S:1:pos:R:3 pbc="T T T"
Zr 0.0000 2.6649 0.0000
Au 0.0000 0.0000 0.0000
Sr 2.6649 2.6649 2.6649
Zr 0.0000 0.0000 2.6649
Zr 2.6649 0.0000 0.0000
```

Results
The value obtained for the relative energy among the computed polymorphs is 0.0000 eV per atom. The calculation puts the calculated formation energy at 0.488 eV per atom. As for the total magnetization: 0.00 μB/f.u.

=====

Question: The lowest total magnetization belongs to which entry?
Answer: SrZr3Au

=====

Question: relative energy among the computed polymorphs of number 2 (SrZr3Au)?
Answer: 0.0000 eV per atom

=====

Question: Look up the total magnetization of the first one.
Answer: 2.36 μB/f.u.